Entry 1:
A relaxed YScGa6 crystal, computed with PBE-GGA.

The space group is P-6m2 (No. 187) and the conventional cell measures 6.0752, 6.0752 and 4.6615 Å, with angles of 90.00, 90.00 and 120.00 degrees. The asymmetric unit holds Y at (0.0000, 0.0000, 0.0000), Sc at (0.6667, 0.3333, 0.5000), Ga at (0.0211, 0.5106, 0.0000) and Ga at (0.1841, 0.3683, 0.5000).

Its relative energy among the computed polymorphs is 47 meV per atom. The value obtained for the formation energy is -0.471 eV/atom. For the uncorrected energy, the calculation gives -4.340 eV/atom. The value obtained for the density of states at the Fermi level is 0.50 states/eV per atom. For the total magnetization, the calculation gives 0.00 μB/f.u.

Entry 2:
A relaxed CsFe2Co crystal, computed with PBE-GGA.

The space group is Fm-3m (No. 225) and the conventional cell measures 6.427, 6.427 and 6.427 Å, with angles of 90.00, 90.00 and 90.00 degrees. The asymmetric unit holds Cs at (0.000, 0.000, 0.000), Fe at (0.250, 0.250, 0.250) and Co at (0.000, 0.000, 0.500).

The value obtained for the formation energy is 1.641 eV/atom. For the uncorrected energy, the calculation gives -4.581 eV/atom. The value obtained for the density of states at the Fermi level is 0.75 states/eV per atom. For the total magnetization, the calculation gives 5.97 μB/f.u.

Entry 3:
A relaxed Hf2ReGe crystal, computed with PBE-GGA.

The space group is I-42d (No. 122) and the conventional cell measures 7.411, 7.411 and 5.716 Å, with angles of 90.00, 90.00 and 90.00 degrees. The asymmetric unit holds Hf at (0.236, 0.750, 0.125), Re at (0.000, 0.000, 0.000) and Ge at (0.000, 0.000, 0.500).

The value obtained for the formation energy is 0.359 eV/atom. For the uncorrected energy, the calculation gives -8.884 eV/atom. The value obtained for the density of states at the Fermi level is 0.94 states/eV per atom. For the total magnetization, the calculation gives 0.00 μB/f.u.

What did the second record say?
A relaxed CsFe2Co crystal, computed with PBE-GGA.

The space group is Fm-3m (No. 225) and the conventional cell measures 6.427, 6.427 and 6.427 Å, with angles of 90.00, 90.00 and 90.00 degrees. The asymmetric unit holds Cs at (0.000, 0.000, 0.000), Fe at (0.250, 0.250, 0.250) and Co at (0.000, 0.000, 0.500).

The value obtained for the formation energy is 1.641 eV/atom. For the uncorrected energy, the calculation gives -4.581 eV/atom. The value obtained for the density of states at the Fermi level is 0.75 states/eV per atom. For the total magnetization, the calculation gives 5.97 μB/f.u.

Which of these has the highest density of states at the Fermi level?
Hf2ReGe

Which formula does entry 1 have?
YScGa6